This record from Alexandria via LeMat-Bulk describes crystalline Sr3MnO4 at its relaxed geometry. The functional is GGA+U. Values from VASP.

Calculated values
**DOS at the Fermi energy**: 0.00 states/eV/cell
**Magnetization**: 0.63 μB per atom
**E**: -6.179 eV per atom

Quantum ESPRESSO input file:
```
&SYSTEM
  ibrav = 0, nat = 8, ntyp = 3
/
ATOMIC_SPECIES
Sr 87.62 Sr.upf
Mn 54.94 Mn.upf
O 16.00 O.upf
ATOMIC_POSITIONS angstrom
Sr -1.8034 1.2752 2.2087
Sr 1.8034 -1.2752 2.2087
Sr 1.8034 2.5503 0.0000
Mn 0.0000 0.0000 0.0000
O -1.0979 -1.5527 2.6893
O 3.2937 0.0000 0.0000
O 0.7055 0.9977 1.7280
O -1.0979 3.1053 0.0000
CELL_PARAMETERS angstrom
5.4101 0.0000 0.0000
-1.8034 5.1007 0.0000
-1.8034 -2.5503 4.4173
```